Record 1
Material: K2MgH2
Method: DFT, PBE
State: optimized geometry

```
K2MgH2
1.0
-2.492 2.492 5.953
2.492 -2.492 5.953
2.492 2.492 -5.953
K Mg H
2 1 2
Cartesian
0.000 0.000 2.119
0.000 0.000 9.787
0.000 0.000 5.953
2.492 0.000 2.976
0.000 2.492 2.976
```

Calculated values
Size of the total moment, Bohr magnetons per cell: 0.0
Relative energy among the computed polymorphs, eV/atom: 0.000
E, eV per atom: -1.931
SG: I4/mmm (139)



Record 2
Material: K3Mg2H6
Method: DFT, PBE
State: optimized geometry

```
K3Mg2H6
1.0
-2.040 2.040 10.571
2.040 -2.040 10.571
2.040 2.040 -10.571
K Mg H
3 2 6
Cartesian
0.000 0.000 0.000
0.000 0.000 3.856
0.000 0.000 17.286
0.000 0.000 8.589
0.000 0.000 12.553
2.040 0.000 1.895
0.000 0.000 6.617
2.040 0.000 8.676
0.000 2.040 1.895
0.000 0.000 14.525
0.000 2.040 8.676
```

Calculated values
Size of the total moment, Bohr magnetons per cell: 0.5
E, eV per atom: -2.599
SG: I4/mmm (139)



Record 3
Material: K2Mg3H8
Method: DFT, PBE
State: optimized geometry

```
K2Mg3H8
1.0
6.144 -3.108 0.000
6.144 3.108 0.000
-1.786 0.000 4.890
K Mg H
2 3 8
Cartesian
2.392 0.000 0.811
8.111 0.000 4.079
5.251 1.612 2.445
6.144 0.000 0.000
5.251 -1.612 2.445
0.383 0.000 2.374
4.848 1.315 0.579
5.655 1.315 4.311
3.996 0.000 2.893
6.507 0.000 1.998
4.848 -1.315 0.579
5.655 -1.315 4.311
10.120 0.000 2.516
```

Calculated values
Size of the total moment, Bohr magnetons per cell: 0.0
E, eV per atom: -2.840
SG: C2/m (12)



Record 4
Material: KMg2H
Method: DFT, PBE
State: optimized geometry

```
KMg2H
1.0
0.000 4.758 4.758
4.758 0.000 4.758
4.758 4.758 0.000
K Mg H
2 4 2
Cartesian
1.189 1.189 1.189
8.326 8.326 8.326
4.758 2.379 2.379
2.379 4.758 2.379
2.379 2.379 4.758
4.758 4.758 4.758
3.568 3.568 3.568
5.947 5.947 5.947
```

Calculated values
Size of the total moment, Bohr magnetons per cell: 0.0
E, eV per atom: -1.744
SG: Fd-3m (227)



Record 5
Material: K2Mg2H7
Method: DFT, PBE
State: optimized geometry

```
K2Mg2H7
1.0
3.313 -5.286 0.000
3.313 5.286 0.000
0.000 0.000 3.998
K Mg H
2 2 7
Cartesian
1.552 0.000 0.000
5.074 0.000 0.000
3.313 2.204 1.999
3.313 -2.204 1.999
1.274 1.581 1.999
3.313 2.052 0.000
1.274 -1.581 1.999
3.313 0.000 1.999
5.352 1.581 1.999
3.313 -2.052 0.000
5.352 -1.581 1.999
```

Calculated values
Size of the total moment, Bohr magnetons per cell: 1.0
E, eV per atom: -2.612
SG: Cmmm (65)



Record 6
Material: K2MgH5
Method: DFT, PBE
State: optimized geometry

```
K2MgH5
1.0
2.071 -6.500 0.000
2.071 6.500 0.000
0.000 0.000 11.268
K Mg H
4 2 10
Cartesian
2.071 4.692 6.508
2.071 4.692 10.394
2.071 -4.692 0.874
2.071 -4.692 4.760
2.071 4.448 2.817
2.071 -4.448 8.451
2.071 5.845 1.516
2.071 5.845 4.119
2.071 3.184 1.375
2.071 3.184 4.259
2.071 2.469 8.451
2.071 -2.469 2.817
2.071 -3.184 7.009
2.071 -3.184 9.894
2.071 -5.845 7.150
2.071 -5.845 9.753
```

Calculated values
Size of the total moment, Bohr magnetons per cell: 2.0
E, eV per atom: -2.477
SG: Cmcm (63)



Record 7
Material: K3MgH4
Method: DFT, PBE
State: optimized geometry

```
K3MgH4
1.0
-3.082 4.851 2.829
3.082 -4.851 2.829
3.082 4.851 -2.829
K Mg H
3 1 4
Cartesian
0.000 0.000 0.000
3.082 2.602 -0.015
0.000 2.249 2.814
3.082 0.000 2.770
0.000 2.783 0.040
1.761 4.851 -0.582
1.321 0.000 2.247
0.000 6.919 0.040
```

Calculated values
Size of the total moment, Bohr magnetons per cell: 0.0
E, eV per atom: -2.384
SG: Imm2 (44)



Record 8
Material: K2MgH
Method: DFT, PBE
State: optimized geometry

```
K2MgH
1.0
0.000 4.188 4.188
4.188 0.000 4.188
4.188 4.188 0.000
K Mg H
2 1 1
Cartesian
2.094 2.094 2.094
6.282 6.282 6.282
0.000 0.000 0.000
4.188 4.188 4.188
```

Calculated values
Size of the total moment, Bohr magnetons per cell: 0.0
Relative energy among the computed polymorphs, eV/atom: 0.225
E, eV per atom: -1.392
SG: Fm-3m (225)



Record 9
Material: K3Mg2H7
Method: DFT, PBE
State: optimized geometry

```
K3Mg2H7
1.0
2.022 -10.926 0.000
2.022 10.926 0.000
0.000 0.000 3.914
K Mg H
3 2 7
Cartesian
0.000 0.000 0.000
2.022 6.973 0.000
2.022 -6.973 0.000
2.022 2.024 1.957
2.022 -2.024 1.957
2.022 8.918 1.957
2.022 4.021 1.957
2.022 2.009 0.000
2.022 0.000 1.957
2.022 -2.009 0.000
2.022 -4.021 1.957
2.022 -8.918 1.957
```

Calculated values
Size of the total moment, Bohr magnetons per cell: 0.0
Relative energy among the computed polymorphs, eV/atom: 0.019
E, eV per atom: -2.751
SG: Cmmm (65)



Record 10
Material: KMg2H7
Method: DFT, PBE
State: optimized geometry

```
KMg2H7
1.0
2.834 -5.275 0.000
2.834 5.275 0.000
0.000 0.000 3.748
K Mg H
1 2 7
Cartesian
0.000 0.000 0.000
2.834 2.512 1.874
2.834 -2.512 1.874
1.520 1.176 1.874
2.834 2.732 0.000
1.520 -1.176 1.874
2.834 0.000 1.874
4.148 1.176 1.874
2.834 -2.732 0.000
4.148 -1.176 1.874
```

Calculated values
Size of the total moment, Bohr magnetons per cell: 0.0
E, eV per atom: -2.592
SG: Cmmm (65)



Record 11
Material: K2Mg2H5
Method: DFT, PBE
State: optimized geometry

```
K2Mg2H5
1.0
4.075 0.000 0.000
0.000 4.075 0.000
0.000 0.000 7.850
K Mg H
2 2 5
Cartesian
0.000 0.000 0.000
0.000 0.000 3.925
2.038 2.038 1.949
2.038 2.038 5.901
0.000 2.038 1.889
0.000 2.038 5.961
2.038 0.000 1.889
2.038 0.000 5.961
2.038 2.038 3.925
```

Calculated values
Size of the total moment, Bohr magnetons per cell: 0.5
E, eV per atom: -2.624
SG: P4/mmm (123)



Record 12
Material: K2MgMnH6
Method: DFT, PBE
State: optimized geometry

```
K2MgMnH6
1.0
0.000 3.982 3.982
3.982 0.000 3.982
3.982 3.982 0.000
K Mg Mn H
2 1 1 6
Cartesian
1.991 1.991 1.991
5.973 5.973 5.973
0.000 0.000 0.000
3.982 3.982 3.982
3.982 3.982 2.033
3.982 2.033 3.982
5.931 3.982 3.982
2.033 3.982 3.982
3.982 5.931 3.982
3.982 3.982 5.931
```

Calculated values
Size of the total moment, Bohr magnetons per cell: 5.0
E, eV per atom: -3.425
SG: Fm-3m (225)



Question: E of number 3 (K2Mg3H8)?
Answer: -2.840 eV per atom



Question: The highest size of the total moment belongs to which entry?
Answer: K2MgMnH6



Question: What is the E in the tenth record?
Answer: -2.592 eV per atom



Question: Which of these has the lowest E?
Answer: K2MgMnH6